Record 1
{
  "formula": "Ac2SiBr",
  "functional": "GGA-PBE",
  "state": "relaxed",
  "cell": [[5.516, 0.000, 0.000], [2.758, 4.777, 0.000], [2.758, 1.592, 4.503]],
  "species": ["Ac", "Ac", "Br", "Si"],
  "frac_coords": [[0.250, 0.250, 0.250], [0.750, 0.750, 0.750], [0.500, 0.500, 0.500], [0.000, 0.000, 0.000]],
  "total_magnetization_mub_per_fu": 0.000,
  "formation_energy_uncorrected_ev_per_atom": -0.868,
  "polymorph_energy_mev_per_atom": 185,
  "dft_energy_ev_per_cell": -18.8
}


Record 2
{
  "formula": "Ac4SiBr5",
  "functional": "GGA-PBE",
  "state": "relaxed",
  "cell": [[4.460, 0.000, 0.000], [0.000, 9.147, -0.564], [-2.230, -1.887, 9.764]],
  "species": ["Br", "Br", "Br", "Br", "Br", "Ac", "Ac", "Ac", "Ac", "Si"],
  "frac_coords": [[0.500, 0.500, 0.000], [0.829, 0.153, 0.659], [0.833, 0.664, 0.665], [0.171, 0.847, 0.341], [0.167, 0.336, 0.335], [0.654, 0.088, 0.308], [0.000, 0.773, 0.999], [0.000, 0.227, 0.001], [0.346, 0.912, 0.692], [0.500, 0.000, 0.000]],
  "total_magnetization_mub_per_fu": 0.000,
  "formation_energy_uncorrected_ev_per_atom": -1.509,
  "dft_energy_ev_per_cell": -45.3
}


Record 3
{
  "formula": "Ac4Si3Br",
  "functional": "GGA-PBE",
  "state": "relaxed",
  "cell": [[6.428, 0.000, 0.000], [0.000, 6.428, 0.000], [0.000, 0.000, 6.428]],
  "species": ["Ac", "Ac", "Ac", "Ac", "Si", "Si", "Si", "Br"],
  "frac_coords": [[0.000, 0.000, 0.500], [0.000, 0.500, 0.000], [0.500, 0.500, 0.500], [0.500, 0.000, 0.000], [0.000, 0.500, 0.500], [0.500, 0.500, 0.000], [0.500, 0.000, 0.500], [0.000, 0.000, 0.000]],
  "total_magnetization_mub_per_fu": 0.000,
  "formation_energy_uncorrected_ev_per_atom": -0.713,
  "dft_energy_ev_per_cell": -40.1
}


Record 4
{
  "formula": "Ac2SiBr",
  "functional": "GGA-PBE",
  "state": "relaxed",
  "cell": [[-4.030, -4.787, -4.905], [0.225, -3.203, 7.353], [-5.799, 8.311, 0.892]],
  "species": ["Br", "Br", "Br", "Br", "Ac", "Ac", "Ac", "Ac", "Ac", "Ac", "Ac", "Ac", "Si", "Si", "Si", "Si"],
  "frac_coords": [[0.190, 0.440, 0.879], [0.435, 0.685, 0.370], [0.810, 0.560, 0.121], [0.565, 0.315, 0.630], [0.049, 0.274, 0.125], [0.576, 0.851, 0.125], [0.175, 0.952, 0.376], [0.951, 0.726, 0.875], [0.424, 0.149, 0.875], [0.299, 0.576, 0.624], [0.701, 0.424, 0.376], [0.825, 0.048, 0.624], [0.942, 0.192, 0.384], [0.058, 0.808, 0.616], [0.317, 0.067, 0.134], [0.683, 0.933, 0.866]],
  "total_magnetization_mub_per_fu": 0.000,
  "formation_energy_uncorrected_ev_per_atom": -1.039,
  "polymorph_energy_mev_per_atom": 14,
  "dft_energy_ev_per_cell": -77.9
}


Record 5
{
  "formula": "Ac3SiBr3",
  "functional": "GGA-PBE",
  "state": "relaxed",
  "cell": [[-9.094, -5.669, -2.731], [7.515, -6.911, 4.250], [-2.575, 7.710, 7.498]],
  "species": ["Br", "Br", "Br", "Br", "Br", "Br", "Br", "Br", "Br", "Br", "Br", "Br", "Ac", "Ac", "Ac", "Ac", "Ac", "Ac", "Ac", "Ac", "Ac", "Ac", "Ac", "Ac", "Si", "Si", "Si", "Si"],
  "frac_coords": [[0.006, 0.503, 0.753], [0.750, 0.997, 0.503], [0.497, 0.994, 0.747], [0.003, 0.250, 0.997], [0.750, 0.753, 0.747], [0.253, 0.506, 0.503], [0.253, 0.747, 0.250], [0.247, 0.250, 0.753], [0.003, 0.753, 0.506], [0.247, 0.997, 0.994], [0.494, 0.747, 0.997], [0.497, 0.503, 0.250], [0.761, 0.011, 0.021], [0.250, 0.011, 0.489], [0.739, 0.261, 0.750], [0.739, 0.479, 0.489], [0.989, 0.750, 0.011], [0.761, 0.750, 0.239], [0.989, 0.239, 0.479], [0.521, 0.261, 0.011], [0.511, 0.489, 0.750], [0.511, 0.021, 0.261], [0.250, 0.239, 0.261], [0.979, 0.489, 0.239], [0.750, 0.500, 0.000], [0.500, 0.250, 0.500], [0.750, 0.250, 0.250], [0.000, 0.000, 0.250]],
  "total_magnetization_mub_per_fu": 0.000,
  "formation_energy_uncorrected_ev_per_atom": -1.415,
  "polymorph_energy_mev_per_atom": 0,
  "dft_energy_ev_per_cell": -130.7
}


Record 6
{
  "formula": "Ac3Si2Br",
  "functional": "GGA-PBE",
  "state": "relaxed",
  "cell": [[-3.730, 0.686, 0.306], [-0.751, -3.450, -1.417], [0.073, -4.747, 11.517]],
  "species": ["Ac", "Ac", "Ac", "Si", "Si", "Br"],
  "frac_coords": [[0.000, 0.000, 0.000], [0.000, 0.000, 0.306], [0.000, 0.000, 0.694], [0.500, 0.500, 0.834], [0.500, 0.500, 0.166], [0.500, 0.500, 0.500]],
  "total_magnetization_mub_per_fu": 0.000,
  "formation_energy_uncorrected_ev_per_atom": -0.671,
  "polymorph_energy_mev_per_atom": 0,
  "dft_energy_ev_per_cell": -28.9
}


Record 7
{
  "formula": "Ac2SiBr",
  "functional": "GGA-PBE",
  "state": "relaxed",
  "cell": [[4.575, 0.000, 0.000], [2.288, 3.962, 0.000], [2.288, 1.321, 7.632]],
  "species": ["Ac", "Ac", "Si", "Br"],
  "frac_coords": [[0.738, 0.738, 0.786], [0.262, 0.262, 0.214], [0.000, 0.000, 0.000], [0.500, 0.500, 0.500]],
  "total_magnetization_mub_per_fu": 0.000,
  "formation_energy_uncorrected_ev_per_atom": -1.053,
  "polymorph_energy_mev_per_atom": 0,
  "dft_energy_ev_per_cell": -19.5
}


Record 8
{
  "formula": "Ac3Si2Br2",
  "functional": "GGA-PBE",
  "state": "relaxed",
  "cell": [[-1.579, -1.427, -3.959], [6.500, -4.102, 1.375], [-6.114, -4.356, 3.994]],
  "species": ["Ac", "Ac", "Ac", "Si", "Si", "Br", "Br"],
  "frac_coords": [[0.000, 0.000, 0.000], [0.778, 0.551, 0.236], [0.222, 0.449, 0.764], [0.375, 0.748, 0.090], [0.625, 0.252, 0.910], [0.149, 0.293, 0.361], [0.851, 0.707, 0.639]],
  "total_magnetization_mub_per_fu": 0.000,
  "formation_energy_uncorrected_ev_per_atom": -0.911,
  "dft_energy_ev_per_cell": -32.9
}